# PaMn4VO8

Crystalline PaMn4VO8 at its relaxed geometry (PBE with a Hubbard U, Alexandria).

It has space group R3m (No. 160, hexagonal axes), with a = 6.3137 Å, b = 6.3137 Å, c = 15.8805 Å, α = 90.00°, β = 90.00° and γ = 120.00°. The asymmetric unit holds Pa at (0.0000, 0.0000, 0.0000), Mn at (0.0000, 0.0000, 0.2656), Mn at (0.0118, 0.5059, 0.1355), V at (0.0000, 0.0000, 0.6318), O at (0.0000, 0.0000, 0.3959), O at (0.0000, 0.0000, 0.8691), O at (0.0231, 0.5115, 0.3831) and O at (0.1819, 0.3639, 0.2251).

As for the density of states at the Fermi level: 0.52 states/eV/atom. The value obtained for the raw total energy is -8.23 eV per atom. The calculated volume is 548.2 Å³/cell.